First-principles (PBE with a Hubbard U) data for crystalline Li7Co5O12 at its relaxed geometry, as listed in Alexandria.

Output
D(E_F) in states/eV per atom: 0.15
E above lowest polymorph in meV per atom: 9
Volume in Å³/atom: 8.22

Unit cell a=4.9957 b=5.6798 c=7.4894 alpha=100.97 beta=95.73 gamma=106.63
Site moments in Bohr magnetons follow the coordinates.
Positions (direct):
O (0.7774, 0.7333, 0.0913)  0.05
O (0.2111, 0.9491, 0.5781)  0.01
O (0.2163, 0.4501, 0.5821)  -0.01
O (0.7889, 0.0509, 0.4219)  0.01
O (0.2186, 0.7992, 0.9073)  0.05
O (0.7721, 0.3770, 0.7374)  0.10
O (0.2226, 0.2667, 0.9087)  0.05
O (0.7837, 0.5499, 0.4179)  -0.01
O (0.2279, 0.6230, 0.2626)  0.10
O (0.7784, 0.8838, 0.7558)  -0.04
O (0.2216, 0.1162, 0.2442)  -0.04
O (0.7814, 0.2008, 0.0927)  0.05
Li (0.5042, 0.0893, 0.8367)  0.00
Li (0.4990, 0.7512, 0.5012)  0.00
Li (0.4958, 0.9107, 0.1633)  0.00
Li (0.5015, 0.4210, 0.1622)  0.00
Li (0.0000, 0.5000, 0.0000)  0.01
Li (0.4985, 0.5790, 0.8378)  0.00
Li (0.5010, 0.2488, 0.4988)  0.00
Co (0.0024, 0.8298, 0.3298)  0.20
Co (0.9976, 0.1702, 0.6702)  0.20
Co (0.0037, 0.3351, 0.3314)  0.13
Co (0.9963, 0.6649, 0.6686)  0.13
Co (0.0000, 0.0000, 0.0000)  0.95